1.
## MgFeB4 (GGA-PBE)

Data for an optimized crystal structure of MgFeB4.

## Properties
Total moment   2.0 μB per formula unit
Polymorph energy (0 for the lowest one)   152 meV/atom
Density   4.0 g/cm³

Unit cell a=4.438 b=4.438 c=4.438 alpha=140.72 beta=107.81 gamma=85.42
Last column: magnetic moment on the atom in μB.
Atoms (fractional coordinates):
Fe  0.000  0.000  0.000  2.07
B  0.587  0.250  0.337  0.01
B  0.087  0.750  0.337  0.01
B  0.413  0.750  0.663  0.01
B  0.913  0.250  0.663  0.01
Mg  0.500  0.500  0.000  0.00

2.
## MgFeB4 (GGA-PBE)

Data for an optimized crystal structure of MgFeB4.

## Properties
Total moment   2.3 μB per formula unit
Polymorph energy (0 for the lowest one)   136 meV/atom
Density   4.0 g/cm³

Unit cell a=2.995 b=2.995 c=6.595 alpha=90.00 beta=90.00 gamma=120.00
Last column: magnetic moment on the atom in μB.
Atoms (fractional coordinates):
Mg  0.000  0.000  0.000  -0.01
B  0.667  0.333  0.730  0.05
B  0.667  0.333  0.270  0.05
B  0.333  0.667  0.270  0.05
B  0.333  0.667  0.730  0.05
Fe  0.000  0.000  0.500  2.08

3.
## MgFe2B (GGA-PBE)

Data for an optimized crystal structure of MgFe2B.

## Properties
Total moment   2.4 μB per formula unit
Density   5.6 g/cm³
Calculated total energy   -0.4423 Ry per atom

Unit cell a=5.572 b=5.572 c=5.572 alpha=90.00 beta=90.00 gamma=90.00
Last column: magnetic moment on the atom in μB.
Atoms (fractional coordinates):
B  0.000  0.500  0.500  -0.09
B  0.500  0.500  0.500  -0.10
B  0.500  0.000  0.500  -0.09
B  0.500  0.500  0.000  -0.07
Fe  0.286  0.714  0.714  1.28
Fe  0.714  0.286  0.714  1.28
Fe  0.286  0.286  0.286  1.28
Fe  0.714  0.714  0.286  1.29
Fe  0.714  0.286  0.286  1.28
Fe  0.286  0.286  0.714  1.29
Fe  0.286  0.714  0.286  1.28
Fe  0.714  0.714  0.714  1.28
Mg  0.000  0.000  0.000  -0.03
Mg  0.000  0.500  0.000  -0.02
Mg  0.000  0.000  0.500  -0.03
Mg  0.500  0.000  0.000  -0.02